Dy2Ni4GeP3, relaxed, DFT GGA-PBE; symmetry = P-4m2 (115)
1.0
-1.335 -2.547 2.675
0.617 -2.958 -2.509
8.825 -1.048 3.408
Dy Ni Ge P
2 4 1 3
Cartesian
1.470 -1.527 2.163
6.995 -2.273 1.328
-0.359 -2.753 0.083
0.000 0.000 0.000
4.925 -1.938 3.497
3.541 -1.863 -0.006
4.053 -3.277 1.787
4.412 -0.524 1.704
7.006 -2.185 4.301
1.460 -1.616 -0.810



Dy2Ni4Ge3Pd, relaxed, DFT GGA-PBE; symmetry = P-4m2 (115)
1.0
3.988 0.000 0.000
0.000 3.988 0.000
0.000 0.000 10.207
Dy Ni Ge Pd
2 4 3 1
Cartesian
1.994 0.000 2.555
0.000 1.994 7.653
1.994 1.994 0.000
0.000 0.000 0.000
1.994 0.000 6.595
0.000 1.994 3.613
0.000 0.000 5.104
1.994 0.000 8.912
0.000 1.994 1.295
1.994 1.994 5.104



PmDyNiGe, relaxed, DFT GGA-PBE; symmetry = F-43m (216)
1.0
-2.325 -4.394 -0.524
-0.164 -2.223 -4.474
2.658 -4.152 -0.827
Ni Ge Pm Dy
1 1 1 1
Cartesian
0.084 -5.384 -2.913
0.000 0.000 0.000
0.042 -2.692 -1.456
0.127 -8.077 -4.369



| no. | ΔE_f (eV per atom) | magnetization (μB per cell) |
| --- | --- | --- |
| 1 | -0.93 | 0.000 |
| 2 | -0.63 | 0.000 |
| 3 | -0.50 | 0.000 |